# 1
Below is a crystal of ZrCdCo2 relaxed with PBEsol, with properties calculated at the meta-GGA SCAN level.

Calculated values
The formation enthalpy at 0 K is 85 meV per atom. The calculated total energy comes out at -23.8454 eV/atom.

Cell lengths 2.9360, 4.4122, 5.0419 Å; angles 107.79, 106.93, 90.00 degrees
Last column: magnetic moment on the atom in μB.
Element x y z (fractional)
Zr 0.5114 0.5431 0.0229  -0.26
Co 0.2789 0.7364 0.5579  1.45
Co 0.9789 0.0205 0.9578  1.38
Cd 0.7308 0.2000 0.4615  -0.04



# 2
Below is a crystal of Cr3Cd relaxed with PBEsol, with properties calculated at the meta-GGA SCAN level.

Calculated values
The formation enthalpy at 0 K is 669 meV per atom. The calculated total energy comes out at -20.7226 eV/atom. The calculation puts the energy above the most stable polymorph in this dataset at 251 meV per atom.

Cell lengths 3.7313, 3.7313, 3.7313 Å; angles 90.00, 90.00, 90.00 degrees
Element x y z (fractional)
Cr 0.5000 0.0000 0.5000
Cr 0.0000 0.5000 0.5000
Cr 0.5000 0.5000 0.0000
Cd 0.0000 0.0000 0.0000



# 3
Below is a crystal of Cr3Cd relaxed with PBEsol, with properties calculated at the meta-GGA SCAN level.

Calculated values
The formation enthalpy at 0 K is 418 meV per atom. The calculated total energy comes out at -20.9740 eV/atom. The calculation puts the energy above the most stable polymorph in this dataset at 0 meV per atom.

Cell lengths 2.7563, 2.7563, 8.3763 Å; angles 80.53, 80.53, 60.00 degrees
Last column: magnetic moment on the atom in μB.
Element x y z (fractional)
Cr 0.7639 0.7639 0.7084  2.34
Cr 0.5000 0.5000 0.5000  -1.70
Cr 0.2361 0.2361 0.2916  2.34
Cd 0.0000 0.0000 0.0000  -0.04



# 4
Below is a crystal of CrCd2 relaxed with PBEsol, with properties calculated at the meta-GGA SCAN level.

Calculated values
The formation enthalpy at 0 K is 168 meV per atom. The calculated total energy comes out at -26.2361 eV/atom.

Cell lengths 4.7329, 4.7329, 5.7172 Å; angles 90.00, 90.00, 120.00 degrees
Last column: magnetic moment on the atom in μB.
Element x y z (fractional)
Cd 0.0000 0.0000 0.5000  -0.05
Cd 0.6667 0.3333 0.7500  -0.01
Cd 0.0000 0.0000 0.0000  -0.05
Cd 0.3333 0.6667 0.2500  -0.01
Cr 0.6667 0.3333 0.2500  3.90
Cr 0.3333 0.6667 0.7500  3.90



# 5
Below is a crystal of CrCd2 relaxed with PBEsol, with properties calculated at the meta-GGA SCAN level.

Calculated values
The formation enthalpy at 0 K is 113 meV per atom. The calculated total energy comes out at -26.2917 eV/atom.

Cell lengths 3.0384, 4.1141, 5.1072 Å; angles 113.75, 107.31, 90.00 degrees
Last column: magnetic moment on the atom in μB.
Element x y z (fractional)
Cr 0.0000 0.0000 0.0000  3.93
Cd 0.3363 0.3363 0.6725  -0.02
Cd 0.6637 0.6637 0.3275  -0.02



# 6
Below is a crystal of Cr5Cd relaxed with PBEsol, with properties calculated at the meta-GGA SCAN level.

Calculated values
The formation enthalpy at 0 K is 404 meV per atom. The calculated total energy comes out at -19.9851 eV/atom.

Cell lengths 4.7341, 4.7341, 4.7341 Å; angles 60.00, 60.00, 60.00 degrees
Element x y z (fractional)
Cr 0.7500 0.7500 0.7500
Cr 0.8770 0.3743 0.3743
Cr 0.3743 0.8770 0.3743
Cr 0.3743 0.3743 0.3743
Cr 0.3743 0.3743 0.8770
Cd 0.0000 0.0000 0.0000



# 7
Below is a crystal of Cs2Cr4CdH4O16 relaxed with PBEsol, with properties calculated at the meta-GGA SCAN level.

Calculated values
The calculated total energy comes out at -12.5867 eV/atom.

Cell lengths 7.5516, 7.9166, 7.9593 Å; angles 90.76, 117.74, 97.27 degrees
Element x y z (fractional)
Cr 0.2922 0.1449 0.2465
Cr 0.2602 0.6694 0.5017
Cr 0.7078 0.8551 0.7535
Cr 0.7398 0.3306 0.4983
O 0.9055 0.3457 0.7241
O 0.4868 0.7932 0.5358
O 0.7689 0.6904 0.8775
O 0.3343 0.0026 0.1249
O 0.7717 0.3130 0.0340
O 0.8276 0.2375 0.3758
O 0.8816 0.9327 0.7029
O 0.6657 0.9974 0.8751
O 0.1724 0.7625 0.6242
O 0.6934 0.5147 0.4263
O 0.0945 0.6543 0.2759
O 0.2283 0.6870 0.9660
O 0.3066 0.4853 0.5737
O 0.2311 0.3096 0.1225
O 0.1184 0.0673 0.2971
O 0.5132 0.2068 0.4642
H 0.2489 0.8034 0.0300
H 0.1956 0.7078 0.8307
H 0.7511 0.1966 0.9700
H 0.8044 0.2922 0.1693
Cs 0.2612 0.1658 0.7456
Cs 0.7388 0.8342 0.2544
Cd 0.0000 0.5000 0.0000



# 8
Below is a crystal of Cr6CdCu2O12 relaxed with PBEsol, with properties calculated at the meta-GGA SCAN level.

Calculated values
The calculated total energy comes out at -13.8076 eV/atom. The formation energy without anion corrections is -48.4 kcal/mol of atoms.

Cell lengths 5.9164, 8.3501, 10.2395 Å; angles 114.06, 106.79, 90.00 degrees
Last column: magnetic moment on the atom in μB.
Element x y z (fractional)
Cd 0.6654 0.4145 0.3308  0.03
Cd 0.3346 0.0838 0.6692  0.03
Cr 0.0807 0.4587 0.1614  2.76
Cr 0.9142 0.7935 0.3274  2.76
Cr 0.4180 0.7862 0.8361  2.73
Cr 0.7564 0.1184 0.0000  2.77
Cr 0.9193 0.2973 0.8386  2.76
Cr 0.2436 0.1184 0.0000  2.77
Cr 0.5868 0.4661 0.6726  2.76
Cr 0.2505 0.6262 0.5009  2.80
Cr 0.0858 0.4661 0.6726  2.76
Cr 0.4132 0.7935 0.3274  2.76
Cr 0.7495 0.1253 0.4991  2.80
Cr 0.5820 0.9501 0.1639  2.73
O 0.1133 0.6982 0.6678  -0.02
O 0.5697 0.1692 0.1394  0.01
O 0.6239 0.2318 0.6697  0.01
O 0.4455 0.0304 0.3322  -0.02
O 0.5912 0.7267 0.1824  -0.04
O 0.8867 0.0304 0.3322  -0.02
O 0.3761 0.5621 0.3303  0.01
O 0.0458 0.2318 0.6697  0.01
O 0.2613 0.4012 0.5226  0.00
O 0.7387 0.8786 0.4774  0.00
O 0.4303 0.0298 0.8606  0.01
O 0.0749 0.2143 0.1498  -0.05
O 0.9542 0.5621 0.3303  0.01
O 0.7646 0.3744 0.5291  0.00
O 0.9251 0.0645 0.8502  -0.05
O 0.4088 0.5443 0.8176  -0.04
O 0.9096 0.5238 0.8192  -0.07
O 0.7229 0.8826 0.0000  -0.04
O 0.0904 0.7046 0.1808  -0.07
O 0.7744 0.3560 0.0000  0.00
O 0.2771 0.8826 0.0000  -0.04
O 0.2354 0.8453 0.4709  0.00
O 0.2256 0.3560 0.0000  0.00
O 0.5545 0.6982 0.6678  -0.02
Cu 0.1677 0.1689 0.3354  -0.44
Cu 0.0000 0.7513 0.0000  -0.48
Cu 0.8323 0.8335 0.6646  -0.44
Cu 0.5000 0.4965 0.0000  -0.44



Number 1: density of states at the Fermi level 2.3 states/eV/f.u.. Number 2: density of states at the Fermi level 2.9 states/eV/f.u.. Number 3: density of states at the Fermi level 1.9 states/eV/f.u.. Number 4: density of states at the Fermi level 1.3 states/eV/f.u.. Number 5: density of states at the Fermi level 0.9 states/eV/f.u.. Number 6: density of states at the Fermi level 1.9 states/eV/f.u.. Number 7: density of states at the Fermi level 0.0 states/eV/f.u.. Number 8: density of states at the Fermi level 9.9 states/eV/f.u..